*A*
Pr6NdDy3: optimized geometry, PBE.

```
data_Pr6NdDy3
_chemical_formula_sum 'Pr12 Nd2 Dy6'
_cell_length_a 6.447
_cell_length_b 11.193
_cell_length_c 11.193
_cell_angle_alpha 120.62
_cell_angle_beta 90.00
_cell_angle_gamma 90.00
_space_group_name_H-M_alt 'P 1'
_space_group_IT_number 1
loop_
_space_group_symop_operation_xyz
'x,y,z'
loop_
_atom_site_label
_atom_site_fract_x
_atom_site_fract_y
_atom_site_fract_z
_atom_site_occupancy
Pr1 0.051 0.709 0.629 1
Pr2 0.551 0.629 0.709 1
Pr3 0.373 0.525 0.942 1
Pr4 0.873 0.942 0.525 1
Pr5 0.366 0.965 0.035 1
Pr6 0.650 0.282 0.718 1
Pr7 0.150 0.718 0.282 1
Pr8 0.866 0.035 0.965 1
Pr9 0.373 0.058 0.475 1
Pr10 0.873 0.475 0.058 1
Pr11 0.051 0.371 0.291 1
Pr12 0.551 0.291 0.371 1
Nd1 0.107 0.192 0.808 1
Nd2 0.607 0.808 0.192 1
Dy1 0.462 0.942 0.709 1
Dy2 0.962 0.709 0.942 1
Dy3 0.090 0.383 0.617 1
Dy4 0.590 0.617 0.383 1
Dy5 0.962 0.058 0.291 1
Dy6 0.462 0.291 0.058 1
```

Output
Its space group is No. 36. As for the total magnetic moment: 0.0 μB/cell.



*B*
Pr6NdDy3: optimized geometry, PBE.

```
data_Pr6NdDy3
_chemical_formula_sum 'Pr12 Nd2 Dy6'
_cell_length_a 6.547
_cell_length_b 11.884
_cell_length_c 11.884
_cell_angle_alpha 130.78
_cell_angle_beta 90.00
_cell_angle_gamma 90.00
_space_group_name_H-M_alt 'P 1'
_space_group_IT_number 1
loop_
_space_group_symop_operation_xyz
'x,y,z'
loop_
_atom_site_label
_atom_site_fract_x
_atom_site_fract_y
_atom_site_fract_z
_atom_site_occupancy
Pr1 0.077 0.738 0.619 1
Pr2 0.577 0.619 0.738 1
Pr3 0.328 0.456 0.892 1
Pr4 0.828 0.892 0.456 1
Pr5 0.285 0.986 0.014 1
Pr6 0.807 0.299 0.701 1
Pr7 0.307 0.701 0.299 1
Pr8 0.785 0.014 0.986 1
Pr9 0.328 0.108 0.544 1
Pr10 0.828 0.544 0.108 1
Pr11 0.077 0.381 0.262 1
Pr12 0.577 0.262 0.381 1
Nd1 0.013 0.154 0.846 1
Nd2 0.513 0.846 0.154 1
Dy1 0.487 0.960 0.705 1
Dy2 0.987 0.705 0.960 1
Dy3 0.096 0.419 0.581 1
Dy4 0.596 0.581 0.419 1
Dy5 0.987 0.040 0.295 1
Dy6 0.487 0.295 0.040 1
```

Output
Its space group is No. 36. As for the total magnetic moment: 0.0 μB/cell.



Stability, highest: *B*



*A*
PrNdDy6: optimized geometry, PBE.

```
data_PrNdDy6
_chemical_formula_sum 'Pr1 Nd1 Dy6'
_cell_length_a 5.064
_cell_length_b 5.064
_cell_length_c 10.119
_cell_angle_alpha 90.00
_cell_angle_beta 90.00
_cell_angle_gamma 90.00
_space_group_name_H-M_alt 'P 1'
_space_group_IT_number 1
loop_
_space_group_symop_operation_xyz
'x,y,z'
loop_
_atom_site_label
_atom_site_fract_x
_atom_site_fract_y
_atom_site_fract_z
_atom_site_occupancy
Pr1 0.000 0.000 0.000 1
Nd1 0.000 0.000 0.500 1
Dy1 0.500 0.500 0.000 1
Dy2 0.500 0.500 0.500 1
Dy3 0.500 0.000 0.251 1
Dy4 0.500 0.000 0.749 1
Dy5 0.000 0.500 0.251 1
Dy6 0.000 0.500 0.749 1
```

Output
Its space group is No. 123. As for the total magnetic moment: 0.0 μB/cell.



*B*
PrNdDy6: optimized geometry, PBE.

```
data_PrNdDy6
_chemical_formula_sum 'Pr1 Nd1 Dy6'
_cell_length_a 6.119
_cell_length_b 6.119
_cell_length_c 9.404
_cell_angle_alpha 86.74
_cell_angle_beta 117.29
_cell_angle_gamma 112.51
_space_group_name_H-M_alt 'P 1'
_space_group_IT_number 1
loop_
_space_group_symop_operation_xyz
'x,y,z'
loop_
_atom_site_label
_atom_site_fract_x
_atom_site_fract_y
_atom_site_fract_z
_atom_site_occupancy
Pr1 0.500 0.000 0.500 1
Nd1 0.000 0.000 0.000 1
Dy1 0.362 0.458 0.299 1
Dy2 0.841 0.938 0.299 1
Dy3 0.159 0.062 0.701 1
Dy4 0.638 0.542 0.701 1
Dy5 0.702 0.374 0.076 1
Dy6 0.298 0.626 0.924 1
```

Output
Its space group is No. 12. As for the total magnetic moment: 0.0 μB/cell.



Stability, highest: *A*



*A*
Pr2Nd2Dy3: optimized geometry, PBE.

```
data_Pr2Nd2Dy3
_chemical_formula_sum 'Pr2 Nd2 Dy3'
_cell_length_a 3.531
_cell_length_b 8.734
_cell_length_c 9.088
_cell_angle_alpha 118.45
_cell_angle_beta 101.20
_cell_angle_gamma 90.00
_space_group_name_H-M_alt 'P 1'
_space_group_IT_number 1
loop_
_space_group_symop_operation_xyz
'x,y,z'
loop_
_atom_site_label
_atom_site_fract_x
_atom_site_fract_y
_atom_site_fract_z
_atom_site_occupancy
Pr1 0.567 0.910 0.134 1
Pr2 0.433 0.090 0.866 1
Nd1 0.850 0.662 0.700 1
Nd2 0.150 0.338 0.300 1
Dy1 0.000 0.500 0.000 1
Dy2 0.212 0.803 0.425 1
Dy3 0.788 0.197 0.575 1
```

Output
Its space group is No. 12. As for the total magnetic moment: 0.0 μB/cell.



*B*
Pr2Nd2Dy3: optimized geometry, PBE.

```
data_Pr2Nd2Dy3
_chemical_formula_sum 'Pr4 Nd4 Dy6'
_cell_length_a 9.594
_cell_length_b 6.284
_cell_length_c 13.077
_cell_angle_alpha 76.13
_cell_angle_beta 89.95
_cell_angle_gamma 139.67
_space_group_name_H-M_alt 'P 1'
_space_group_IT_number 1
loop_
_space_group_symop_operation_xyz
'x,y,z'
loop_
_atom_site_label
_atom_site_fract_x
_atom_site_fract_y
_atom_site_fract_z
_atom_site_occupancy
Pr1 0.499 0.711 0.572 1
Pr2 0.996 0.850 0.788 1
Pr3 0.004 0.150 0.212 1
Pr4 0.501 0.289 0.428 1
Nd1 0.497 0.569 0.859 1
Nd2 0.998 0.429 0.645 1
Nd3 0.002 0.571 0.355 1
Nd4 0.503 0.431 0.141 1
Dy1 0.000 0.000 0.500 1
Dy2 0.500 0.000 0.000 1
Dy3 0.000 0.713 0.071 1
Dy4 0.497 0.139 0.717 1
Dy5 0.503 0.861 0.283 1
Dy6 0.000 0.287 0.929 1
```

Output
Its space group is No. 2. As for the total magnetic moment: 0.0 μB/cell.



Stability, highest: *B*



*A*
PrNd6Dy4: optimized geometry, PBE.

```
data_PrNd6Dy4
_chemical_formula_sum 'Pr1 Nd6 Dy4'
_cell_length_a 10.011
_cell_length_b 10.011
_cell_length_c 10.011
_cell_angle_alpha 55.50
_cell_angle_beta 141.56
_cell_angle_gamma 141.56
_space_group_name_H-M_alt 'P 1'
_space_group_IT_number 1
loop_
_space_group_symop_operation_xyz
'x,y,z'
loop_
_atom_site_label
_atom_site_fract_x
_atom_site_fract_y
_atom_site_fract_z
_atom_site_occupancy
Pr1 0.000 0.000 0.000 1
Nd1 0.000 0.814 0.457 1
Nd2 0.000 0.457 0.814 1
Nd3 0.358 0.543 0.543 1
Nd4 0.500 0.500 0.000 1
Nd5 0.642 0.186 0.186 1
Nd6 0.500 0.000 0.500 1
Dy1 0.000 0.637 0.009 1
Dy2 0.372 0.363 0.363 1
Dy3 0.000 0.009 0.637 1
Dy4 0.628 0.991 0.991 1
```

Output
Its space group is No. 121. As for the total magnetic moment: 0.0 μB/cell.



*B*
PrNd6Dy4: optimized geometry, PBE.

```
data_PrNd6Dy4
_chemical_formula_sum 'Pr1 Nd6 Dy4'
_cell_length_a 3.602
_cell_length_b 11.144
_cell_length_c 11.144
_cell_angle_alpha 120.00
_cell_angle_beta 90.00
_cell_angle_gamma 90.00
_space_group_name_H-M_alt 'P 1'
_space_group_IT_number 1
loop_
_space_group_symop_operation_xyz
'x,y,z'
loop_
_atom_site_label
_atom_site_fract_x
_atom_site_fract_y
_atom_site_fract_z
_atom_site_occupancy
Pr1 0.000 0.000 0.000 1
Nd1 0.000 0.524 0.047 1
Nd2 0.500 0.634 0.817 1
Nd3 0.000 0.524 0.476 1
Nd4 0.000 0.953 0.476 1
Nd5 0.500 0.183 0.817 1
Nd6 0.500 0.183 0.366 1
Dy1 0.500 0.838 0.676 1
Dy2 0.500 0.324 0.162 1
Dy3 0.500 0.838 0.162 1
Dy4 0.000 0.333 0.667 1
```

Output
Its space group is No. 187. As for the total magnetic moment: 0.0 μB/cell.



Stability, highest: *B*